[1]
{
  "formula": "Li2InPdAu5",
  "functional": "PBE-GGA",
  "state": "relaxed",
  "dos_ef_per_ev_atom": 0.2544,
  "e_form_ev_per_atom": -0.20,
  "magnetic_moment_mub_per_fu": 0.000,
  "lattice_angstrom": [[-1.4476, -4.9817, -3.0548], [0.0557, -3.1588, 5.1248], [-7.4616, 5.7510, 0.0897]],
  "species": ["Li", "Li", "Li", "Li", "In", "In", "Pd", "Pd", "Au", "Au", "Au", "Au", "Au", "Au", "Au", "Au", "Au", "Au"],
  "fractional_positions": [[0.1206, 0.3794, 0.0000], [0.6206, 0.1206, 0.0000], [0.3794, 0.8794, 0.0000], [0.8794, 0.6206, 0.0000], [0.2500, 0.2500, 0.5000], [0.7500, 0.7500, 0.5000], [0.2500, 0.7500, 0.5000], [0.7500, 0.2500, 0.5000], [0.9195, 0.4195, 0.2444], [0.6752, 0.1752, 0.7556], [0.0805, 0.5805, 0.7556], [0.1752, 0.0805, 0.7556], [0.5805, 0.6752, 0.7556], [0.8248, 0.9195, 0.2444], [0.4195, 0.3248, 0.2444], [0.3248, 0.8248, 0.2444], [0.5000, 0.5000, 0.0000], [0.0000, 0.0000, 0.0000]]
}

***

[2]
{
  "formula": "LiPmInAu",
  "functional": "PBE-GGA",
  "state": "relaxed",
  "dos_ef_per_ev_atom": 0.1510,
  "e_form_ev_per_atom": -0.62,
  "magnetic_moment_mub_per_fu": 0.000,
  "lattice_angstrom": [[4.9351, 0.0000, 0.0000], [2.4675, 4.2739, 0.0000], [2.4675, 1.4246, 4.0295]],
  "species": ["In", "Au", "Li", "Pm"],
  "fractional_positions": [[0.2500, 0.2500, 0.2500], [0.0000, 0.0000, 0.0000], [0.5000, 0.5000, 0.5000], [0.7500, 0.7500, 0.7500]]
}

***

[3]
{
  "formula": "Li2PmInAu2",
  "functional": "PBE-GGA",
  "state": "relaxed",
  "dos_ef_per_ev_atom": 0.7432,
  "e_form_ev_per_atom": -0.57,
  "magnetic_moment_mub_per_fu": 0.000,
  "lattice_angstrom": [[-1.9263, 0.3833, 4.1452], [1.9777, -3.9441, -1.2542], [5.8075, 2.1161, 2.5031]],
  "species": ["Li", "Li", "Pm", "In", "Au", "Au"],
  "fractional_positions": [[0.3333, 0.6667, 0.6748], [0.6667, 0.3333, 0.3252], [0.0000, 0.0000, 0.0000], [0.0000, 0.0000, 0.5000], [0.3333, 0.6667, 0.2611], [0.6667, 0.3333, 0.7389]]
}

***

[4]
{
  "formula": "Li2PmInAu4",
  "functional": "PBE-GGA",
  "state": "relaxed",
  "dos_ef_per_ev_atom": 0.3764,
  "e_form_ev_per_atom": -0.55,
  "magnetic_moment_mub_per_fu": 0.000,
  "lattice_angstrom": [[4.5732, 0.0000, 0.0000], [2.2866, 3.9605, 0.0000], [2.2866, 1.3202, 8.9048]],
  "species": ["Li", "Li", "Pm", "In", "Au", "Au", "Au", "Au"],
  "fractional_positions": [[0.7616, 0.7616, 0.7153], [0.2384, 0.2384, 0.2847], [0.0000, 0.0000, 0.0000], [0.5000, 0.5000, 0.5000], [0.3935, 0.3935, 0.8195], [0.8801, 0.8801, 0.3597], [0.1199, 0.1199, 0.6403], [0.6065, 0.6065, 0.1805]]
}

***

[5]
{
  "formula": "Li2PrIn2Au2",
  "functional": "PBE-GGA",
  "state": "relaxed",
  "dos_ef_per_ev_atom": 0.4662,
  "e_form_ev_per_atom": -0.48,
  "magnetic_moment_mub_per_fu": 0.000,
  "lattice_angstrom": [[4.5806, 0.0000, 0.0000], [2.2903, 3.9669, 0.0000], [2.2903, 1.3223, 8.3786]],
  "species": ["Li", "Li", "Pr", "In", "In", "Au", "Au"],
  "fractional_positions": [[0.5746, 0.5746, 0.2762], [0.4254, 0.4254, 0.7238], [0.0000, 0.0000, 0.0000], [0.1372, 0.1372, 0.5885], [0.8628, 0.8628, 0.4115], [0.7398, 0.7398, 0.7805], [0.2602, 0.2602, 0.2195]]
}

***

[6]
{
  "formula": "Li2PrInAu4",
  "functional": "PBE-GGA",
  "state": "relaxed",
  "dos_ef_per_ev_atom": 0.3755,
  "e_form_ev_per_atom": -0.55,
  "magnetic_moment_mub_per_fu": 0.000,
  "lattice_angstrom": [[-3.1294, 2.2083, 2.4991], [-3.9824, -2.0216, 0.9841], [1.2437, -3.3756, 8.7244]],
  "species": ["Li", "Li", "Pr", "In", "Au", "Au", "Au", "Au"],
  "fractional_positions": [[0.7632, 0.7632, 0.7103], [0.2368, 0.2368, 0.2897], [0.0000, 0.0000, 0.0000], [0.5000, 0.5000, 0.5000], [0.3953, 0.3953, 0.8140], [0.8798, 0.8798, 0.3607], [0.1202, 0.1202, 0.6393], [0.6047, 0.6047, 0.1860]]
}

***

[7]
{
  "formula": "LiPr2InAu6",
  "functional": "PBE-GGA",
  "state": "relaxed",
  "dos_ef_per_ev_atom": 0.5219,
  "e_form_ev_per_atom": -0.48,
  "magnetic_moment_mub_per_fu": 0.000,
  "lattice_angstrom": [[-0.4753, -4.6577, 8.1142], [1.8036, -4.3727, -2.9508], [4.8511, -3.6888, 3.5581]],
  "species": ["Li", "Pr", "Pr", "In", "Au", "Au", "Au", "Au", "Au", "Au"],
  "fractional_positions": [[0.5000, 0.5000, 0.0000], [0.2486, 0.7453, 0.4939], [0.7514, 0.2547, 0.5061], [0.0000, 0.0000, 0.0000], [0.2515, 0.7568, 0.0441], [0.8287, 0.8162, 0.8306], [0.4395, 0.2958, 0.4509], [0.7485, 0.2432, 0.9559], [0.1713, 0.1838, 0.1694], [0.5605, 0.7042, 0.5491]]
}

***

[8]
{
  "formula": "Li2PrInAu2",
  "functional": "PBE-GGA",
  "state": "relaxed",
  "dos_ef_per_ev_atom": 0.7531,
  "e_form_ev_per_atom": -0.57,
  "magnetic_moment_mub_per_fu": 0.000,
  "lattice_angstrom": [[4.6024, 0.0000, 0.0000], [-2.3012, 3.9858, 0.0000], [0.0000, 0.0000, 6.7717]],
  "species": ["Li", "Li", "Pr", "In", "Au", "Au"],
  "fractional_positions": [[0.3333, 0.6667, 0.6712], [0.6667, 0.3333, 0.3288], [0.0000, 0.0000, 0.0000], [0.0000, 0.0000, 0.5000], [0.3333, 0.6667, 0.2665], [0.6667, 0.3333, 0.7335]]
}

***

[9]
{
  "formula": "Li2PuInAu2",
  "functional": "PBE-GGA",
  "state": "relaxed",
  "dos_ef_per_ev_atom": 2.6210,
  "e_form_ev_per_atom": -0.39,
  "magnetic_moment_mub_per_fu": 5.857,
  "lattice_angstrom": [[4.5761, 0.0000, 0.0000], [-2.2881, 3.9631, 0.0000], [0.0000, 0.0000, 6.6693]],
  "species": ["Li", "Li", "Pu", "In", "Au", "Au"],
  "fractional_positions": [[0.3333, 0.6667, 0.6740], [0.6667, 0.3333, 0.3260], [0.0000, 0.0000, 0.0000], [0.0000, 0.0000, 0.5000], [0.3333, 0.6667, 0.2596], [0.6667, 0.3333, 0.7404]]
}

***

[10]
{
  "formula": "LiPuInAu",
  "functional": "PBE-GGA",
  "state": "relaxed",
  "dos_ef_per_ev_atom": 1.6768,
  "e_form_ev_per_atom": -0.37,
  "magnetic_moment_mub_per_fu": 5.654,
  "polymorph_energy_mev_per_atom": 0,
  "lattice_angstrom": [[-1.6024, 2.8368, 0.0113], [-2.7311, -1.5392, -0.8871], [-1.8321, -1.0646, 7.4874]],
  "species": ["Li", "Pu", "In", "Au"],
  "fractional_positions": [[0.0000, 0.0000, 0.5448], [0.0000, 0.0000, 0.0930], [0.5000, 0.5000, 0.7777], [0.5000, 0.5000, 0.3693]]
}

***

[11]
{
  "formula": "LiPuIn2Au4",
  "functional": "PBE-GGA",
  "state": "relaxed",
  "dos_ef_per_ev_atom": 2.0421,
  "e_form_ev_per_atom": -0.40,
  "magnetic_moment_mub_per_fu": 5.513,
  "lattice_angstrom": [[4.7820, 0.0000, 0.0000], [2.3910, 4.1414, 0.0000], [2.3910, 1.3805, 8.3017]],
  "species": ["Li", "Pu", "In", "In", "Au", "Au", "Au", "Au"],
  "fractional_positions": [[0.5000, 0.5000, 0.5000], [0.0000, 0.0000, 0.0000], [0.7540, 0.7540, 0.7381], [0.2460, 0.2460, 0.2619], [0.3893, 0.3893, 0.8321], [0.8696, 0.8696, 0.3912], [0.1304, 0.1304, 0.6088], [0.6107, 0.6107, 0.1679]]
}

***

[12]
{
  "formula": "LiPuInAu",
  "functional": "PBE-GGA",
  "state": "relaxed",
  "dos_ef_per_ev_atom": 2.6836,
  "e_form_ev_per_atom": -0.29,
  "magnetic_moment_mub_per_fu": 5.253,
  "polymorph_energy_mev_per_atom": 78,
  "lattice_angstrom": [[-4.5186, 0.2470, 1.9649], [-3.9700, -0.0599, -2.9284], [-2.9452, -3.9571, -0.0821]],
  "species": ["In", "Au", "Li", "Pu"],
  "fractional_positions": [[0.0000, 0.0000, 0.0000], [0.2500, 0.2500, 0.2500], [0.7500, 0.7500, 0.7500], [0.5000, 0.5000, 0.5000]]
}

***

Q: Number 5 is which compound?
A: Li2PrIn2Au2